Below is a relaxed Hf2U3N4 crystal, with properties calculated at the PBE-GGA level.

Unit cell a=3.339 b=5.898 c=7.406 alpha=77.39 beta=76.97 gamma=73.56
Each line ends with the local moment (μB).
Sites, in units of the cell vectors:
Hf1 0.610 0.174 0.605  0.01
Hf2 0.390 0.826 0.395  0.01
U1 0.000 0.000 0.000  1.10
U2 0.194 0.404 0.208  1.43
U3 0.806 0.596 0.792  1.43
N1 0.797 0.092 0.313  -0.03
N2 0.203 0.908 0.687  -0.03
N3 0.408 0.296 0.888  -0.06
N4 0.592 0.704 0.112  -0.06

Values from the calculation:
Its space-group type is C2/m, No. 12. For the formation energy without anion corrections, the calculation gives -1254 meV/atom.



Below is a relaxed Ac2CeGa crystal, with properties calculated at the PBE-GGA level.

Unit cell a=3.765 b=3.765 c=12.236 alpha=81.15 beta=81.15 gamma=60.00
Each line ends with the local moment (μB).
Sites, in units of the cell vectors:
Ac1 0.100 0.100 0.699  0.03
Ac2 0.900 0.900 0.301  0.03
Ga1 0.500 0.500 0.500  0.00
Ce1 0.000 0.000 0.000  1.25

Values from the calculation:
For the polymorph energy (0 for the lowest one), the calculation gives 265 meV/atom. Its energy of formation from the pure elements is 62.4 kJ/mol of formula units. Its space-group type is R-3m, No. 166.



Below is a relaxed KTa2HCl crystal, with properties calculated at the PBE-GGA level.

Unit cell a=3.932 b=8.036 c=3.932 alpha=90.00 beta=90.00 gamma=90.00
Sites, in units of the cell vectors:
H1 0.000 0.000 0.000
K1 0.000 0.500 0.000
Cl1 0.500 0.500 0.500
Ta1 0.000 0.000 0.500
Ta2 0.500 0.000 0.000

Values from the calculation:
As for the energy: -5.547 eV per atom. Its space-group type is P4/mmm, No. 123.



Below is a relaxed NaCa2Bi2 crystal, with properties calculated at the PBE-GGA level.

Unit cell a=9.521 b=9.521 c=3.629 alpha=90.00 beta=90.00 gamma=90.00
Sites, in units of the cell vectors:
Na1 0.000 0.000 0.000
Na2 0.500 0.500 0.000
Ca1 0.367 0.867 0.000
Ca2 0.867 0.633 0.000
Ca3 0.633 0.133 0.000
Ca4 0.133 0.367 0.000
Bi1 0.166 0.666 0.500
Bi2 0.666 0.834 0.500
Bi3 0.834 0.334 0.500
Bi4 0.334 0.166 0.500

Values from the calculation:
For the polymorph energy (0 for the lowest one), the calculation gives 49 meV/atom. Its energy of formation from the pure elements is -296.4 kJ/mol of formula units. Its space-group type is P4/mbm, No. 127.



> Which formula does entry 1 have?

Hf2U3N4